Material: Li2TcBr
Method: DFT, PBE-GGA
State: optimized geometry

```
data_Li2TcBr
_cell_length_a 3.280
_cell_length_b 4.797
_cell_length_c 8.420
_cell_angle_alpha 90.00
_cell_angle_beta 90.00
_cell_angle_gamma 90.00
_symmetry_space_group_name_H-M 'C m m m'
_symmetry_Int_Tables_number 65
_symmetry_space_group_name_Hall '-C 2 2'
loop_
_atom_site_label
_atom_site_type_symbol
_atom_site_fract_x
_atom_site_fract_y
_atom_site_fract_z
Li1 Li 0.000 0.000 0.233
Tc1 Tc 0.000 0.500 0.500
Br1 Br 0.000 0.500 0.000
```

Its total energy is -3.874 eV per atom.

Material: HgI2N
Method: DFT, PBE-GGA
State: optimized geometry

```
data_HgI2N
_cell_length_a 7.413
_cell_length_b 7.413
_cell_length_c 10.499
_cell_angle_alpha 90.00
_cell_angle_beta 90.00
_cell_angle_gamma 90.00
_symmetry_space_group_name_H-M 'I -4 2 d'
_symmetry_Int_Tables_number 122
_symmetry_space_group_name_Hall 'I -4 2bw'
loop_
_atom_site_label
_atom_site_type_symbol
_atom_site_fract_x
_atom_site_fract_y
_atom_site_fract_z
Hg1 Hg 0.000 0.000 0.000
I1 I 0.001 0.750 0.625
N1 N 0.000 0.000 0.500
```

Its total energy is -2.190 eV per atom.

Material: MnV2Pt3
Method: DFT, PBE-GGA
State: optimized geometry

```
data_MnV2Pt3
_cell_length_a 3.869
_cell_length_b 11.656
_cell_length_c 3.846
_cell_angle_alpha 90.00
_cell_angle_beta 90.00
_cell_angle_gamma 90.00
_symmetry_space_group_name_H-M 'C m m m'
_symmetry_Int_Tables_number 65
_symmetry_space_group_name_Hall '-C 2 2'
loop_
_atom_site_label
_atom_site_type_symbol
_atom_site_fract_x
_atom_site_fract_y
_atom_site_fract_z
Mn1 Mn 0.000 0.000 0.000
V1 V 0.000 0.337 0.000
Pt1 Pt 0.000 0.167 0.500
Pt2 Pt 0.000 0.500 0.500
```

Its energy of formation is -494 meV per atom.

Material: Mg2MnHAu
Method: DFT, PBE-GGA
State: optimized geometry

```
data_Mg2MnHAu
_cell_length_a 4.433
_cell_length_b 4.433
_cell_length_c 3.597
_cell_angle_alpha 90.00
_cell_angle_beta 90.00
_cell_angle_gamma 90.00
_symmetry_space_group_name_H-M 'P 4/m m m'
_symmetry_Int_Tables_number 123
_symmetry_space_group_name_Hall '-P 4 2'
loop_
_atom_site_label
_atom_site_type_symbol
_atom_site_fract_x
_atom_site_fract_y
_atom_site_fract_z
Mg1 Mg 0.000 0.500 0.000
Mn1 Mn 0.000 0.000 0.500
H1 H 0.000 0.000 0.000
Au1 Au 0.500 0.500 0.500
```

Its total energy is -3.989 eV per atom.

no.,size of the total moment (μB/atom)
1,0.000
2,0.164
3,0.033
4,0.686